Entry 1:
Here is a PBEsol-optimized structure of Sc2TcIr from Alexandria via LeMat-Bulk. Energies are from SCAN.

abc: 2.875 4.345 5.344
angles: 90.00 90.00 90.00
Positions (direct):
1 Sc 0.000 0.000 0.000
2 Sc 0.500 0.500 0.314
3 Tc 0.000 0.000 0.516
4 Ir 0.500 0.500 0.801

Computed properties:
For the energy of formation from the pure elements, the calculation gives -0.30 eV per atom. As for the space group: Pmm2, No. 25. Its crystal system is orthorhombic.

---

Entry 2:
Here is a PBEsol-optimized structure of RePNCl2 from Alexandria via LeMat-Bulk. Energies are from SCAN.

abc: 4.792 4.792 4.546
angles: 90.00 90.00 90.00
Positions (direct):
1 Re 0.000 0.000 0.000
2 P 0.000 0.000 0.500
3 N 0.500 0.500 0.500
4 Cl 0.000 0.500 0.000
5 Cl 0.500 0.000 0.000

Computed properties:
For the uncorrected formation energy, the calculation gives 1.107 eV/atom. As for the space group: P4/mmm, No. 123. Its crystal system is tetragonal.

---

Entry 3:
Here is a PBEsol-optimized structure of LiHo2Ir from Alexandria via LeMat-Bulk. Energies are from SCAN.

abc: 4.820 4.820 4.820
angles: 60.00 60.00 60.00
Positions (direct):
1 Li 0.000 0.000 0.000
2 Ho 0.250 0.250 0.250
3 Ho 0.750 0.750 0.750
4 Ir 0.500 0.500 0.500

Computed properties:
For the energy of formation from the pure elements, the calculation gives -0.74 eV per atom. As for the space group: Fm-3m, No. 225. Its crystal system is cubic.

---

Entry 4:
Here is a PBEsol-optimized structure of KMgAg2 from Alexandria via LeMat-Bulk. Energies are from SCAN.

abc: 6.412 6.412 6.412
angles: 152.52 129.83 58.15
Positions (direct):
1 K 0.000 0.000 0.000
2 Mg 0.298 0.798 0.500
3 Ag 0.515 0.515 0.000
4 Ag 0.724 0.224 0.500

Computed properties:
For the energy of formation from the pure elements, the calculation gives 0.09 eV per atom. As for the space group: Imm2, No. 44. Its crystal system is orthorhombic.

---

Entry 5:
Here is a PBEsol-optimized structure of SrOs2Br from Alexandria via LeMat-Bulk. Energies are from SCAN.

abc: 2.937 2.937 9.581
angles: 90.00 90.00 118.91
Positions (direct):
1 Sr 0.000 0.000 0.000
2 Os 0.500 0.500 0.268
3 Os 0.500 0.500 0.732
4 Br 0.000 0.000 0.500

Computed properties:
Its relative energy among the computed polymorphs is 3.17 eV/f.u. For the uncorrected formation energy, the calculation gives 1.609 eV/atom. As for the space group: Cmmm, No. 65. Its crystal system is orthorhombic.

---

Entry 6:
Here is a PBEsol-optimized structure of NaBeNiSb2 from Alexandria via LeMat-Bulk. Energies are from SCAN.

abc: 4.892 4.892 4.136
angles: 90.00 90.00 90.00
Positions (direct):
1 Na 0.000 0.000 0.000
2 Be 0.500 0.500 0.500
3 Ni 0.500 0.500 0.000
4 Sb 0.000 0.500 0.500
5 Sb 0.500 0.000 0.500

Computed properties:
For the uncorrected formation energy, the calculation gives 0.300 eV/atom. As for the space group: P4/mmm, No. 123. Its crystal system is tetragonal.

---

Entry 7:
Here is a PBEsol-optimized structure of TaHg2Sb from Alexandria via LeMat-Bulk. Energies are from SCAN.

abc: 5.736 5.736 5.736
angles: 138.54 138.54 60.08
Positions (direct):
1 Ta 0.000 0.000 0.000
2 Hg 0.250 0.750 0.500
3 Hg 0.750 0.250 0.500
4 Sb 0.500 0.500 0.000

Computed properties:
For the uncorrected formation energy, the calculation gives 0.555 eV/atom. As for the space group: I4/mmm, No. 139. Its crystal system is tetragonal.

---

Entry 8:
Here is a PBEsol-optimized structure of Sr3HfBr from Alexandria via LeMat-Bulk. Energies are from SCAN.

abc: 5.815 5.815 5.815
angles: 90.00 90.00 90.00
Positions (direct):
1 Sr 0.000 0.000 0.500
2 Sr 0.000 0.500 0.000
3 Sr 0.500 0.000 0.000
4 Hf 0.500 0.500 0.500
5 Br 0.000 0.000 0.000

Computed properties:
For the uncorrected formation energy, the calculation gives 0.066 eV/atom. As for the space group: Pm-3m, No. 221. Its crystal system is cubic.

---

Entry 9:
Here is a PBEsol-optimized structure of MnCu2Pt from Alexandria via LeMat-Bulk. Energies are from SCAN.

abc: 2.748 3.574 5.247
angles: 90.00 90.00 90.00
Positions (direct):
1 Mn 0.000 0.000 0.000
2 Cu 0.500 0.500 0.244
3 Cu 0.500 0.500 0.756
4 Pt 0.000 0.000 0.500

Computed properties:
For the energy of formation from the pure elements, the calculation gives -0.29 eV per atom. As for the space group: Pmmm, No. 47. Its crystal system is orthorhombic.

---

Entry 10:
Here is a PBEsol-optimized structure of CaZrAs2 from Alexandria via LeMat-Bulk. Energies are from SCAN.

abc: 3.641 4.236 5.352
angles: 90.00 90.00 90.00
Positions (direct):
1 Ca 0.000 0.000 0.000
2 Zr 0.000 0.500 0.500
3 As 0.500 0.000 0.500
4 As 0.500 0.500 0.000

Computed properties:
Its relative energy among the computed polymorphs is 2.19 eV/f.u. For the energy of formation from the pure elements, the calculation gives -0.79 eV per atom. As for the space group: Pmmm, No. 47. Its crystal system is orthorhombic.

---

Entry 11:
Here is a PBEsol-optimized structure of ZnOsBr2 from Alexandria via LeMat-Bulk. Energies are from SCAN.

abc: 4.819 4.819 7.241
angles: 109.72 109.72 38.18
Positions (direct):
1 Zn 0.000 0.000 0.000
2 Os 0.271 0.271 0.992
3 Br 0.675 0.675 0.702
4 Br 0.838 0.838 0.284

Computed properties:
Its relative energy among the computed polymorphs is 0.72 eV/f.u. For the uncorrected formation energy, the calculation gives 0.355 eV/atom. As for the space group: Cm, No. 8. Its crystal system is monoclinic.

---

Entry 12:
Here is a PBEsol-optimized structure of NbH2F from Alexandria via LeMat-Bulk. Energies are from SCAN.

abc: 4.601 4.601 4.601
angles: 102.05 102.05 125.63
Positions (direct):
1 Nb 0.000 0.000 0.000
2 Nb 0.750 0.250 0.500
3 H 0.066 0.125 0.441
4 H 0.375 0.934 0.059
5 H 0.684 0.625 0.559
6 H 0.875 0.316 0.941
7 F 0.250 0.750 0.500
8 F 0.500 0.500 0.000

Computed properties:
As for the total energy: -93.213 eV per cell. As for the space group: I-42d, No. 122. Its crystal system is tetragonal.

---

| no. | magnetization (μB/f.u.) | DOS at the Fermi energy (states/eV per cell) |
| --- | --- | --- |
| 1 | 0.0 | 3.82 |
| 2 | 3.7 | 2.73 |
| 3 | 0.0 | 1.97 |
| 4 | 0.0 | 1.27 |
| 5 | 0.0 | 4.85 |
| 6 | 0.0 | 2.72 |
| 7 | 0.0 | 2.57 |
| 8 | 3.9 | 6.12 |
| 9 | 4.4 | 1.14 |
| 10 | 0.0 | 1.44 |
| 11 | 0.0 | 1.80 |
| 12 | 0.0 | 1.73 |